Density functional theory data (PBE) for a geometry-optimized ErLu2Hf structure.

Calculated values
ΔE to the lowest computed polymorph = 0 meV/atom
ΔE_f = 122.9 meV/atom
D(E_F) = 1.4032 states/eV per atom

CIF file:
```
data_ErLu2Hf
_space_group_name_H-M_alt 'P 4/m m m'
_space_group_IT_number 123
_space_group_name_Hall '-P 4 2'
_cell_length_a 4.767
_cell_length_b 4.767
_cell_length_c 4.775
_cell_angle_alpha 90.00
_cell_angle_beta 90.00
_cell_angle_gamma 90.00
loop_
_atom_site_label
_atom_site_type_symbol
_atom_site_fract_x
_atom_site_fract_y
_atom_site_fract_z
Er1 Er 0.000 0.000 0.000
Lu1 Lu 0.000 0.500 0.500
Hf1 Hf 0.500 0.500 0.000
```